# 1
First-principles (GGA-PBE) data for a relaxed structure of TiBeTc, as listed in Alexandria via LeMat-Bulk.

* magnetic moment: 0.323 μB/f.u.
* total DFT energy (no corrections): -7.61 eV per atom
* energy relative to the elements: -27 kJ per mole of atoms

```
data_TiBeTc
_chemical_formula_sum 'Ti2 Be2 Tc2'
_cell_length_a 3.154
_cell_length_b 3.154
_cell_length_c 7.951
_cell_angle_alpha 90.00
_cell_angle_beta 90.00
_cell_angle_gamma 90.00
_symmetry_space_group_name_H-M 'I 4 m m'
_symmetry_Int_Tables_number 107
_symmetry_space_group_name_Hall 'I 4 -2'
loop_
_atom_site_label
_atom_site_fract_x
_atom_site_fract_y
_atom_site_fract_z
Ti1 0.000 0.000 0.000
Be1 0.000 0.000 0.322
Tc1 0.000 0.000 0.678
```


# 2
First-principles (GGA-PBE) data for a relaxed structure of CeNdDySe3, as listed in Alexandria via LeMat-Bulk.

* magnetic moment: 1.989 μB/f.u.
* total DFT energy (no corrections): -5.88 eV per atom
* formation energy (no corrections): -1.590 eV per atom

```
data_CeNdDySe3
_chemical_formula_sum 'Ce2 Nd2 Dy2 Se6'
_cell_length_a 8.074
_cell_length_b 4.094
_cell_length_c 10.431
_cell_angle_alpha 90.00
_cell_angle_beta 102.85
_cell_angle_gamma 90.00
_symmetry_space_group_name_H-M 'P 1 21/m 1'
_symmetry_Int_Tables_number 11
loop_
_symmetry_equiv_pos_as_xyz
'x,y,z'
'-x,-y,-z'
'-x,y+1/2,-z'
'x,-y+1/2,z'
loop_
_atom_site_label
_atom_site_fract_x
_atom_site_fract_y
_atom_site_fract_z
Ce1 0.176 0.250 0.117
Nd1 0.182 0.250 0.704
Dy1 0.336 0.750 0.403
Se1 0.092 0.250 0.392
Se2 0.208 0.750 0.923
Se3 0.466 0.750 0.685
```